1.
# LaCdB4 (PBE-GGA, relaxed)
data_LaCdB4
_cell_length_a 3.1939
_cell_length_b 5.5443
_cell_length_c 8.7080
_cell_angle_alpha 90.00
_cell_angle_beta 90.00
_cell_angle_gamma 90.00
_space_group_name_H-M_alt 'I m m m'
_space_group_IT_number 71
_space_group_name_Hall '-I 2 2'
loop_
_atom_site_label
_atom_site_fract_x
_atom_site_fract_y
_atom_site_fract_z
_atom_site_occupancy
La1 0.0000 0.0000 0.0000 1
Cd1 0.0000 0.0000 0.5000 1
B1 0.0000 0.3217 0.2563 1
# - Theoretical density: 6.3 g/cm3
# - Total magnetization: 0.0 μB/f.u.
# - Calculated volume: 154 Å³ per cell
# - DFT total energy: -5.34 eV per atom

=====

2.
# LaCdB4 (PBE-GGA, relaxed)
data_LaCdB4
_cell_length_a 3.2130
_cell_length_b 3.2130
_cell_length_c 8.1958
_cell_angle_alpha 90.00
_cell_angle_beta 90.00
_cell_angle_gamma 120.00
_space_group_name_H-M_alt 'P 6/m m m'
_space_group_IT_number 191
_space_group_name_Hall '-P 6 2'
loop_
_atom_site_label
_atom_site_fract_x
_atom_site_fract_y
_atom_site_fract_z
_atom_site_occupancy
La1 0.0000 0.0000 0.0000 1
Cd1 0.0000 0.0000 0.5000 1
B1 0.3333 0.6667 0.2636 1
# - Theoretical density: 6.7 g/cm3
# - Total magnetization: 0.0 μB/f.u.
# - Calculated volume: 73 Å³ per cell
# - DFT total energy: -5.26 eV per atom

=====

3.
# LaCdB5O10 (PBE-GGA, relaxed)
data_LaCdB5O10
_cell_length_a 8.7369
_cell_length_b 7.8976
_cell_length_c 12.8123
_cell_angle_alpha 90.00
_cell_angle_beta 131.37
_cell_angle_gamma 90.00
_space_group_name_H-M_alt 'P 1 21/c 1'
_space_group_IT_number 14
loop_
_space_group_symop_operation_xyz
'x,y,z'
'-x,-y,-z'
'-x,y+1/2,-z+1/2'
'x,-y+1/2,z+1/2'
loop_
_atom_site_label
_atom_site_fract_x
_atom_site_fract_y
_atom_site_fract_z
_atom_site_occupancy
La1 0.0449 0.1773 0.2339 1
Cd1 0.4836 0.5901 0.8751 1
B1 0.0830 0.6733 0.6012 1
B2 0.1459 0.6024 0.9982 1
B3 0.2743 0.0303 0.0560 1
B4 0.3391 0.5789 0.2571 1
B5 0.4753 0.1756 0.9083 1
O1 0.0211 0.7295 0.9812 1
O2 0.0964 0.1101 0.9215 1
O3 0.1241 0.5526 0.8879 1
O4 0.1975 0.7148 0.2279 1
O5 0.2185 0.5282 0.6376 1
O6 0.2933 0.5338 0.1274 1
O7 0.3116 0.0751 0.8071 1
O8 0.3272 0.6222 0.5142 1
O9 0.4210 0.1679 0.4215 1
O10 0.4507 0.1413 0.1411 1
# - Theoretical density: 4.7 g/cm3
# - Total magnetization: 0.0 μB/f.u.
# - Calculated volume: 663 Å³ per cell
# - DFT total energy: -7.72 eV per atom

=====

4.
# LiCd2B (PBE-GGA, relaxed)
data_LiCd2B
_cell_length_a 6.4092
_cell_length_b 6.4092
_cell_length_c 6.4092
_cell_angle_alpha 90.00
_cell_angle_beta 90.00
_cell_angle_gamma 90.00
_space_group_name_H-M_alt 'F -4 3 m'
_space_group_IT_number 216
_space_group_name_Hall 'F -4 2 3'
loop_
_atom_site_label
_atom_site_fract_x
_atom_site_fract_y
_atom_site_fract_z
_atom_site_occupancy
Li1 0.0000 0.0000 0.0000 1
Cd1 0.0000 0.0000 0.5000 1
Cd2 0.2500 0.2500 0.2500 1
B1 0.2500 0.2500 0.7500 1
# - Theoretical density: 6.1 g/cm3
# - Calculated volume: 263 Å³ per cell
# - DFT total energy: -1.99 eV per atom

=====

5.
# LiCdB2 (PBE-GGA, relaxed)
data_LiCdB2
_cell_length_a 5.6986
_cell_length_b 5.6986
_cell_length_c 5.6986
_cell_angle_alpha 90.00
_cell_angle_beta 90.00
_cell_angle_gamma 90.00
_space_group_name_H-M_alt 'F -4 3 m'
_space_group_IT_number 216
_space_group_name_Hall 'F -4 2 3'
loop_
_atom_site_label
_atom_site_fract_x
_atom_site_fract_y
_atom_site_fract_z
_atom_site_occupancy
Li1 0.0000 0.0000 0.0000 1
Cd1 0.2500 0.2500 0.2500 1
B1 0.0000 0.0000 0.5000 1
B2 0.2500 0.2500 0.7500 1
# - Theoretical density: 5.1 g/cm3
# - Calculated volume: 185 Å³ per cell
# - DFT total energy: -2.86 eV per atom

=====

6.
# LiCdBO3 (PBE-GGA, relaxed)
data_LiCdBO3
_cell_length_a 10.5025
_cell_length_b 9.0908
_cell_length_c 10.7358
_cell_angle_alpha 90.00
_cell_angle_beta 92.72
_cell_angle_gamma 90.00
_space_group_name_H-M_alt 'P 1 21/c 1'
_space_group_IT_number 14
loop_
_space_group_symop_operation_xyz
'x,y,z'
'-x,-y,-z'
'-x,y+1/2,-z+1/2'
'x,-y+1/2,z+1/2'
loop_
_atom_site_label
_atom_site_fract_x
_atom_site_fract_y
_atom_site_fract_z
_atom_site_occupancy
Li1 0.0429 0.2302 0.3326 1
Li2 0.2019 0.2439 0.5851 1
Li3 0.2933 0.7336 0.3338 1
Li4 0.4501 0.7439 0.5825 1
Cd1 0.0478 0.5945 0.8833 1
Cd2 0.2042 0.5864 0.6216 1
Cd3 0.2888 0.0950 0.8728 1
Cd4 0.4641 0.0881 0.6328 1
B1 0.0411 0.5761 0.3678 1
B2 0.2100 0.5778 0.1346 1
B3 0.2913 0.0777 0.3846 1
B4 0.4593 0.0798 0.1175 1
O1 0.0013 0.0670 0.8447 1
O2 0.0439 0.1909 0.1489 1
O3 0.0823 0.5995 0.0984 1
O4 0.1679 0.6045 0.4037 1
O5 0.2035 0.1871 0.4041 1
O6 0.2517 0.5618 0.8467 1
O7 0.2546 0.0638 0.6596 1
O8 0.2915 0.6955 0.1498 1
O9 0.3298 0.1034 0.0939 1
O10 0.4200 0.1065 0.4072 1
O11 0.4558 0.6921 0.4004 1
O12 0.4973 0.0591 0.8458 1
# - Theoretical density: 4.6 g/cm3
# - Calculated volume: 1024 Å³ per cell
# - DFT total energy: -6.01 eV per atom

=====

7.
# Lu2CdB (PBE-GGA, relaxed)
data_Lu2CdB
_cell_length_a 6.9609
_cell_length_b 6.9609
_cell_length_c 6.9609
_cell_angle_alpha 90.00
_cell_angle_beta 90.00
_cell_angle_gamma 90.00
_space_group_name_H-M_alt 'F -4 3 m'
_space_group_IT_number 216
_space_group_name_Hall 'F -4 2 3'
loop_
_atom_site_label
_atom_site_fract_x
_atom_site_fract_y
_atom_site_fract_z
_atom_site_occupancy
Lu1 0.0000 0.0000 0.0000 1
Lu2 0.2500 0.2500 0.2500 1
Cd1 0.2500 0.2500 0.7500 1
B1 0.0000 0.0000 0.5000 1
# - Theoretical density: 9.3 g/cm3
# - Total magnetization: 0.0 μB/f.u.
# - Calculated volume: 337 Å³ per cell
# - DFT total energy: -3.33 eV per atom

=====

8.
# LuCdB (PBE-GGA, relaxed)
data_LuCdB
_cell_length_a 6.3728
_cell_length_b 6.3728
_cell_length_c 6.3728
_cell_angle_alpha 90.00
_cell_angle_beta 90.00
_cell_angle_gamma 90.00
_space_group_name_H-M_alt 'F -4 3 m'
_space_group_IT_number 216
_space_group_name_Hall 'F -4 2 3'
loop_
_atom_site_label
_atom_site_fract_x
_atom_site_fract_y
_atom_site_fract_z
_atom_site_occupancy
Lu1 0.0000 0.0000 0.0000 1
Cd1 0.2500 0.2500 0.2500 1
B1 0.2500 0.2500 0.7500 1
# - Theoretical density: 7.7 g/cm3
# - Total magnetization: 0.0 μB/f.u.
# - Calculated volume: 259 Å³ per cell
# - DFT total energy: -3.14 eV per atom